# Tc2NiSb (PBE-GGA, optimized geometry)
data_Tc2NiSb
_chemical_formula_sum 'Tc6 Ni3 Sb3'
_cell_length_a 2.9748
_cell_length_b 2.9748
_cell_length_c 24.5425
_cell_angle_alpha 90.00
_cell_angle_beta 90.00
_cell_angle_gamma 120.00
_symmetry_space_group_name_H-M 'R -3 m'
_symmetry_Int_Tables_number 166
_symmetry_space_group_name_Hall '-R 3 2"'
loop_
_atom_site_label
_atom_site_type_symbol
_atom_site_fract_x
_atom_site_fract_y
_atom_site_fract_z
Tc1 Tc 0.0000 0.0000 0.2456
Ni1 Ni 0.0000 0.0000 0.5000
Sb1 Sb 0.0000 0.0000 0.0000
# E above lowest polymorph = 0.3606 eV/atom
# crystal system = trigonal
# uncorrected formation energy = 1.91 eV per formula unit